Record 1
{"formula": "Ca2CuF", "functional": "PBE-GGA", "state": "relaxed", "polymorph_energy_ev_per_atom": 0.545, "lattice_angstrom": [[1.7545, 1.0130, 8.8630], [-1.7545, 1.0130, 8.8630], [0.0000, -2.0260, 8.8630]], "species": ["Ca", "Ca", "Cu", "F"], "frac_coords": [[0.1037, 0.1037, 0.1037], [0.8963, 0.8963, 0.8963], [0.0000, 0.0000, 0.0000], [0.5000, 0.5000, 0.5000]]}



Record 2
{"formula": "Ca12Cu3F5", "functional": "PBE-GGA", "state": "relaxed", "lattice_angstrom": [[-7.9624, 7.9624, 7.9624], [7.9624, -7.9624, 7.9624], [7.9624, 7.9624, -7.9624]], "species": ["Ca", "Ca", "Ca", "Ca", "Ca", "Ca", "Ca", "Ca", "Ca", "Ca", "Ca", "Ca", "Ca", "Ca", "Ca", "Ca", "Ca", "Ca", "Ca", "Ca", "Ca", "Ca", "Ca", "Ca", "Ca", "Ca", "Ca", "Ca", "Ca", "Ca", "Ca", "Ca", "Ca", "Ca", "Ca", "Ca", "Ca", "Ca", "Ca", "Ca", "Ca", "Ca", "Ca", "Ca", "Ca", "Ca", "Ca", "Ca", "Cu", "Cu", "Cu", "Cu", "Cu", "Cu", "Cu", "Cu", "Cu", "Cu", "Cu", "Cu", "F", "F", "F", "F", "F", "F", "F", "F", "F", "F", "F", "F", "F", "F", "F", "F", "F", "F", "F", "F"], "frac_coords": [[0.0263, 0.2127, 0.1226], [0.0263, 0.3136, 0.9037], [0.0901, 0.7127, 0.6864], [0.0901, 0.8774, 0.4037], [0.0963, 0.6226, 0.4099], [0.0963, 0.9737, 0.6864], [0.1226, 0.0263, 0.2127], [0.1226, 0.5963, 0.9099], [0.1864, 0.2127, 0.5901], [0.1864, 0.4737, 0.5963], [0.2127, 0.1226, 0.0263], [0.2127, 0.5901, 0.1864], [0.2873, 0.3136, 0.9099], [0.2873, 0.4737, 0.3774], [0.3136, 0.9037, 0.0263], [0.3136, 0.9099, 0.2873], [0.3774, 0.2873, 0.4737], [0.3774, 0.5901, 0.9037], [0.4037, 0.0901, 0.8774], [0.4037, 0.8136, 0.5263], [0.4099, 0.0963, 0.6226], [0.4099, 0.8136, 0.7873], [0.4737, 0.3774, 0.2873], [0.4737, 0.5963, 0.1864], [0.5263, 0.4037, 0.8136], [0.5263, 0.6226, 0.7127], [0.5901, 0.1864, 0.2127], [0.5901, 0.9037, 0.3774], [0.5963, 0.1864, 0.4737], [0.5963, 0.9099, 0.1226], [0.6226, 0.4099, 0.0963], [0.6226, 0.7127, 0.5263], [0.6864, 0.0901, 0.7127], [0.6864, 0.0963, 0.9737], [0.7127, 0.5263, 0.6226], [0.7127, 0.6864, 0.0901], [0.7873, 0.4099, 0.8136], [0.7873, 0.8774, 0.9737], [0.8136, 0.5263, 0.4037], [0.8136, 0.7873, 0.4099], [0.8774, 0.4037, 0.0901], [0.8774, 0.9737, 0.7873], [0.9037, 0.0263, 0.3136], [0.9037, 0.3774, 0.5901], [0.9099, 0.1226, 0.5963], [0.9099, 0.2873, 0.3136], [0.9737, 0.6864, 0.0963], [0.9737, 0.7873, 0.8774], [0.1250, 0.2500, 0.3750], [0.1250, 0.3750, 0.7500], [0.2500, 0.3750, 0.1250], [0.2500, 0.8750, 0.6250], [0.3750, 0.1250, 0.2500], [0.3750, 0.7500, 0.1250], [0.6250, 0.2500, 0.8750], [0.6250, 0.8750, 0.7500], [0.7500, 0.1250, 0.3750], [0.7500, 0.6250, 0.8750], [0.8750, 0.6250, 0.2500], [0.8750, 0.7500, 0.6250], [0.0000, 0.0000, 0.0000], [0.0000, 0.0000, 0.5000], [0.0000, 0.5000, 0.0000], [0.0000, 0.5000, 0.5000], [0.1250, 0.7500, 0.8750], [0.1250, 0.8750, 0.2500], [0.2500, 0.1250, 0.8750], [0.2500, 0.6250, 0.3750], [0.3750, 0.2500, 0.6250], [0.3750, 0.6250, 0.7500], [0.5000, 0.0000, 0.0000], [0.5000, 0.0000, 0.5000], [0.5000, 0.5000, 0.0000], [0.5000, 0.5000, 0.5000], [0.6250, 0.3750, 0.2500], [0.6250, 0.7500, 0.3750], [0.7500, 0.3750, 0.6250], [0.7500, 0.8750, 0.1250], [0.8750, 0.1250, 0.7500], [0.8750, 0.2500, 0.1250]]}



Record 3
{"formula": "CaCu2F7", "functional": "PBE-GGA", "state": "relaxed", "lattice_angstrom": [[3.6097, -4.7540, 0.0000], [3.6097, 4.7540, 0.0000], [0.0000, 0.0000, 3.7293]], "species": ["Ca", "Cu", "Cu", "F", "F", "F", "F", "F", "F", "F"], "frac_coords": [[0.0000, 0.0000, 0.0000], [0.2995, 0.7005, 0.5000], [0.7005, 0.2995, 0.5000], [0.0366, 0.2971, 0.5000], [0.2863, 0.7137, 0.0000], [0.2971, 0.0366, 0.5000], [0.5000, 0.5000, 0.5000], [0.7029, 0.9634, 0.5000], [0.7137, 0.2863, 0.0000], [0.9634, 0.7029, 0.5000]]}



Record 4
{"formula": "Ca3CuF", "functional": "PBE-GGA", "state": "relaxed", "polymorph_energy_ev_per_atom": 0.000, "lattice_angstrom": [[4.9177, 0.0000, 0.0000], [0.0000, 4.9177, 0.0000], [0.0000, 0.0000, 4.9177]], "species": ["Ca", "Ca", "Ca", "Cu", "F"], "frac_coords": [[0.0000, 0.0000, 0.5000], [0.0000, 0.5000, 0.0000], [0.5000, 0.0000, 0.0000], [0.5000, 0.5000, 0.5000], [0.0000, 0.0000, 0.0000]]}



Record 5
{"formula": "Ca4Cu3F12", "functional": "PBE-GGA", "state": "relaxed", "lattice_angstrom": [[-4.1857, 4.1857, 4.1857], [4.1857, -4.1857, 4.1857], [4.1857, 4.1857, -4.1857]], "species": ["Ca", "Ca", "Ca", "Ca", "Cu", "Cu", "Cu", "F", "F", "F", "F", "F", "F", "F", "F", "F", "F", "F", "F"], "frac_coords": [[0.0000, 0.0000, 0.5000], [0.0000, 0.5000, 0.0000], [0.5000, 0.0000, 0.0000], [0.5000, 0.5000, 0.5000], [0.0000, 0.5000, 0.5000], [0.5000, 0.0000, 0.5000], [0.5000, 0.5000, 0.0000], [0.1536, 0.3249, 0.8288], [0.1712, 0.4961, 0.3249], [0.1712, 0.8464, 0.6751], [0.3249, 0.1712, 0.4961], [0.3249, 0.8288, 0.1536], [0.4961, 0.3249, 0.1712], [0.5039, 0.6751, 0.8288], [0.6751, 0.1712, 0.8464], [0.6751, 0.8288, 0.5039], [0.8288, 0.1536, 0.3249], [0.8288, 0.5039, 0.6751], [0.8464, 0.6751, 0.1712]]}



Record 6
{"formula": "Ca2CuF8", "functional": "PBE-GGA", "state": "relaxed", "polymorph_energy_ev_per_atom": 0.104, "lattice_angstrom": [[6.7903, -2.1275, 0.0000], [6.7903, 2.1275, 0.0000], [-1.6580, 0.0000, 4.5046]], "species": ["Ca", "Ca", "Cu", "F", "F", "F", "F", "F", "F", "F", "F"], "frac_coords": [[0.1665, 0.1665, 0.1655], [0.8335, 0.8335, 0.8345], [0.5000, 0.5000, 0.5000], [0.0025, 0.0025, 0.2491], [0.2258, 0.2258, 0.7380], [0.3860, 0.3860, 0.6166], [0.3995, 0.3995, 0.1347], [0.6005, 0.6005, 0.8653], [0.6140, 0.6140, 0.3834], [0.7742, 0.7742, 0.2620], [0.9975, 0.9975, 0.7509]]}



Record 7
{"formula": "Ca2Cu2F7", "functional": "PBE-GGA", "state": "relaxed", "lattice_angstrom": [[3.3474, -5.1447, 0.0000], [3.3474, 5.1447, 0.0000], [-0.9846, 0.0000, 5.3420]], "species": ["Ca", "Ca", "Cu", "Cu", "F", "F", "F", "F", "F", "F", "F"], "frac_coords": [[0.1827, 0.8173, 0.0000], [0.8173, 0.1827, 0.0000], [0.2518, 0.2518, 0.6279], [0.7482, 0.7482, 0.3721], [0.0432, 0.0432, 0.2566], [0.0898, 0.4507, 0.7914], [0.4507, 0.0898, 0.7914], [0.5000, 0.5000, 0.5000], [0.5493, 0.9102, 0.2086], [0.9102, 0.5493, 0.2086], [0.9568, 0.9568, 0.7434]]}



Record 8
{"formula": "CaCu2F11", "functional": "PBE-GGA", "state": "relaxed", "lattice_angstrom": [[-4.4730, 4.4818, 4.9855], [4.4730, -4.4818, 4.9855], [4.4730, 4.4818, -4.9855]], "species": ["Ca", "Ca", "Cu", "Cu", "Cu", "Cu", "F", "F", "F", "F", "F", "F", "F", "F", "F", "F", "F", "F", "F", "F", "F", "F", "F", "F", "F", "F", "F", "F"], "frac_coords": [[0.2500, 0.2500, 0.0000], [0.7500, 0.7500, 0.0000], [0.2051, 0.7050, 0.9101], [0.2949, 0.2050, 0.4999], [0.7051, 0.7950, 0.5001], [0.7949, 0.2950, 0.0899], [0.0000, 0.5000, 0.5000], [0.0299, 0.3313, 0.1086], [0.0784, 0.9699, 0.3011], [0.1400, 0.3599, 0.4999], [0.1688, 0.4699, 0.8915], [0.2227, 0.9214, 0.8914], [0.2773, 0.1687, 0.6987], [0.3312, 0.2226, 0.3011], [0.3600, 0.8599, 0.2199], [0.4216, 0.7226, 0.8915], [0.4701, 0.5786, 0.3013], [0.5000, 0.0000, 0.5000], [0.5299, 0.4214, 0.6987], [0.5784, 0.2774, 0.1085], [0.6400, 0.1401, 0.7801], [0.6688, 0.7774, 0.6989], [0.7227, 0.8313, 0.3013], [0.7773, 0.0786, 0.1086], [0.8312, 0.5301, 0.1085], [0.8600, 0.6401, 0.5001], [0.9216, 0.0301, 0.6989], [0.9701, 0.6687, 0.8914]]}



no.,formation energy from raw total energies (eV/atom),DFT total energy (eV/cell),calculated volume (Å³/cell)
1,-0.763,-13.02,94.5
2,-1.361,-291.53,2019.2
3,-2.043,-43.72,128.0
4,-0.943,-16.69,118.9
5,-2.904,-97.93,293.3
6,-2.517,-50.75,130.2
7,-2.688,-54.87,184.0
8,-1.548,-104.89,399.8